A geometry-optimized Cr2AuF structure. Source: the Alexandria database, functional GGA+U.

a b c (Å): 5.6825 5.6825 5.6825
angles (deg): 108.39 108.39 111.66
Atoms (fractional coordinates):
Cr1 0.0612 0.6250 0.9362
Cr2 0.3750 0.3112 0.4362
Cr3 0.6888 0.1250 0.0638
Cr4 0.8750 0.9388 0.5638
Au1 0.2500 0.7500 0.5000
Au2 0.5000 0.5000 0.0000
F1 0.0000 0.0000 0.0000
F2 0.7500 0.2500 0.5000

Results
DOS at the Fermi energy: 4.81 states/eV/cell
uncorrected energy: -5.488 eV/atom
magnetic moment: 2.3752 μB/atom
space group: I-42d, No. 122